A plane-wave DFT calculation with PBE-GGA was carried out for crystalline TbDy3Al8 at its relaxed geometry.

Unit cell a=9.6665 b=9.6665 c=9.6665 alpha=33.44 beta=33.44 gamma=33.44
Element x y z (fractional)
Tb (0.8125, 0.8125, 0.8125)
Dy (0.3125, 0.3125, 0.3125)
Dy (0.6875, 0.6875, 0.6875)
Dy (0.1876, 0.1876, 0.1876)
Al (0.5000, 0.5000, 0.5000)
Al (0.0000, 0.0000, 0.0000)
Al (0.2499, 0.2499, 0.7499)
Al (0.7500, 0.7500, 0.2502)
Al (0.2499, 0.7499, 0.2499)
Al (0.7500, 0.2502, 0.7500)
Al (0.7499, 0.2499, 0.2499)
Al (0.2502, 0.7500, 0.7500)

Summary:
- Calculated total energy: -54.7 eV for the cell shown
- Polymorph energy (0 for the lowest one): 0.0 meV/atom
- Total magnetization: 0.0 Bohr magnetons per cell
- DOS at the Fermi energy: 9.3 states/eV per cell
- Crystal system: trigonal



A plane-wave DFT calculation with PBE-GGA was carried out for crystalline Tb7DyAl5 at its relaxed geometry.

Unit cell a=6.1387 b=8.0433 c=8.0433 alpha=79.53 beta=67.57 gamma=67.57
Element x y z (fractional)
Tb (0.6702, 0.3298, 0.3298)
Tb (0.3364, 0.6636, 0.6636)
Tb (0.9903, 0.3454, 0.6739)
Tb (0.9903, 0.6739, 0.3454)
Tb (0.2732, 0.2268, 0.2268)
Tb (0.5062, 0.8012, 0.1865)
Tb (0.5062, 0.1865, 0.8012)
Dy (0.0122, 0.9878, 0.9878)
Al (0.4914, 0.9963, 0.5156)
Al (0.9967, 0.9963, 0.5156)
Al (0.4914, 0.5156, 0.9963)
Al (0.9967, 0.5156, 0.9963)
Al (0.7389, 0.7611, 0.7611)

Summary:
- Calculated total energy: -58.6 eV for the cell shown
- Total magnetization: 0.0 Bohr magnetons per cell
- DOS at the Fermi energy: 12.4 states/eV per cell
- Crystal system: orthorhombic



A plane-wave DFT calculation with PBE-GGA was carried out for crystalline Tb4Dy15Al at its relaxed geometry.

Unit cell a=4.9470 b=4.9470 c=25.0197 alpha=90.00 beta=90.00 gamma=90.00
Element x y z (fractional)
Tb (0.0000, 0.0000, 0.1959)
Tb (0.0000, 0.0000, 0.3986)
Tb (0.0000, 0.0000, 0.6014)
Tb (0.0000, 0.0000, 0.8041)
Dy (0.5000, 0.5000, 0.0000)
Dy (0.5000, 0.5000, 0.1938)
Dy (0.5000, 0.5000, 0.3979)
Dy (0.5000, 0.5000, 0.6021)
Dy (0.5000, 0.5000, 0.8062)
Dy (0.5000, 0.0000, 0.0935)
Dy (0.5000, 0.0000, 0.2968)
Dy (0.5000, 0.0000, 0.5000)
Dy (0.5000, 0.0000, 0.7032)
Dy (0.5000, 0.0000, 0.9065)
Dy (0.0000, 0.5000, 0.0935)
Dy (0.0000, 0.5000, 0.2968)
Dy (0.0000, 0.5000, 0.5000)
Dy (0.0000, 0.5000, 0.7032)
Dy (0.0000, 0.5000, 0.9065)
Al (0.0000, 0.0000, 0.0000)

Summary:
- Calculated total energy: -91.6 eV for the cell shown
- Total magnetization: 0.0 Bohr magnetons per cell
- DOS at the Fermi energy: 23.9 states/eV per cell
- Crystal system: tetragonal



A plane-wave DFT calculation with PBE-GGA was carried out for crystalline Tb2Dy4Al at its relaxed geometry.

Unit cell a=3.6043 b=3.6043 c=18.9896 alpha=84.55 beta=84.55 gamma=60.00
Site moments in Bohr magnetons follow the coordinates.
Element x y z (fractional)
Tb (0.8080, 0.8080, 0.5759)  0.09
Tb (0.1920, 0.1920, 0.4241)  0.09
Dy (0.7064, 0.7064, 0.8809)  0.06
Dy (0.9089, 0.9089, 0.2734)  0.18
Dy (0.2936, 0.2936, 0.1191)  0.06
Dy (0.0911, 0.0911, 0.7266)  0.18
Al (0.0000, 0.0000, 0.0000)  0.00

Summary:
- Calculated total energy: -31.7 eV for the cell shown
- Total magnetization: 0.9 Bohr magnetons per cell
- DOS at the Fermi energy: 10.9 states/eV per cell
- Crystal system: trigonal